# 1
PmPrHo5Tm2: relaxed, GGA-PBE.

CIF file:
```
data_PmPrHo5Tm2
_cell_length_a 5.597
_cell_length_b 19.813
_cell_length_c 10.548
_cell_angle_alpha 90.00
_cell_angle_beta 90.00
_cell_angle_gamma 90.00
_space_group_name_H-M_alt 'C m c 21'
_space_group_IT_number 36
_space_group_name_Hall 'C 2c -2'
loop_
_atom_site_label
_atom_site_fract_x
_atom_site_fract_y
_atom_site_fract_z
Pm1 0.000 0.201 0.000
Pr1 0.000 0.417 0.435
Ho1 0.000 0.017 0.014
Ho2 0.000 0.281 0.298
Ho3 0.000 0.299 0.697
Ho4 0.000 0.390 0.011
Ho5 0.000 0.477 0.723
Tm1 0.000 0.111 0.722
Tm2 0.000 0.113 0.308
```

Calculated values
M_tot, Bohr magnetons per cell: 0.0
Energy relative to the elements, meV/atom: 165
DOS(E_F), states/eV per atom: 1.557

***

# 2
CaErTlPb: relaxed, GGA-PBE.

CIF file:
```
data_CaErTlPb
_cell_length_a 5.050
_cell_length_b 5.050
_cell_length_c 8.879
_cell_angle_alpha 90.00
_cell_angle_beta 90.00
_cell_angle_gamma 90.00
_space_group_name_H-M_alt 'I -4 m 2'
_space_group_IT_number 119
_space_group_name_Hall 'I -4 -2'
loop_
_atom_site_label
_atom_site_fract_x
_atom_site_fract_y
_atom_site_fract_z
Ca1 0.000 0.000 0.000
Er1 0.000 0.000 0.500
Tl1 0.000 0.500 0.750
Pb1 0.000 0.500 0.250
```

Calculated values
M_tot, Bohr magnetons per cell: 0.0
Energy relative to the elements, meV/atom: -389
Energy relative to the lowest polymorph listed for this composition, meV per atom: 0
DOS(E_F), states/eV per atom: 0.391

***

no.,final energy (eV per formula unit)
1,-39.9
2,-14.2